# 1
Below is a relaxed Ca2YOs crystal, with properties calculated at the GGA-PBE level.

extended XYZ file:
```
4
Lattice="0.000 3.653 3.663 3.626 0.000 3.663 3.626 3.653 0.000" Properties=species:S:1:pos:R:3 pbc="T T T"
Ca 0.000 0.000 0.000
Ca 1.813 1.826 1.832
Y 5.439 5.479 5.495
Os 3.626 3.653 3.663
```

Calculated values
magnetic moment	0.00	μB per cell
N(E_F)	4.952	states/eV/cell
polymorph energy (0 for the lowest one)	199	meV/atom
density	6.15	g/cm³

***

# 2
Below is a relaxed HoSc3Co crystal, with properties calculated at the GGA-PBE level.

extended XYZ file:
```
5
Lattice="4.925 0.000 0.000 0.000 4.925 0.000 0.000 0.000 4.925" Properties=species:S:1:pos:R:3 pbc="T T T"
Ho 0.000 0.000 0.000
Sc 0.000 2.463 2.463
Sc 2.463 0.000 2.463
Sc 2.463 2.463 0.000
Co 2.463 2.463 2.463
```

Calculated values
magnetic moment	0.00	μB per cell
N(E_F)	6.103	states/eV/cell
polymorph energy (0 for the lowest one)	39	meV/atom
density	4.99	g/cm³

***

# 3
Below is a relaxed KMn3 crystal, with properties calculated at the GGA-PBE level.

extended XYZ file:
```
8
Lattice="4.242 0.000 0.000 0.000 5.442 0.000 0.000 0.000 7.826" Properties=species:S:1:pos:R:3 pbc="T T T"
K 1.061 1.360 0.627
K 3.182 4.081 7.199
Mn 1.061 0.083 4.781
Mn 1.061 2.638 4.781
Mn 1.061 4.081 2.869
Mn 3.182 1.360 4.957
Mn 3.182 2.804 3.045
Mn 3.182 5.359 3.045
```

Calculated values
magnetic moment	7.45	μB per cell
N(E_F)	6.827	states/eV/cell
polymorph energy (0 for the lowest one)	16	meV/atom
density	3.75	g/cm³

***

# 4
Below is a relaxed RbTl2Pd2 crystal, with properties calculated at the GGA-PBE level.

extended XYZ file:
```
5
Lattice="-2.469 2.469 5.604 2.469 -2.469 5.604 2.469 2.469 -5.604" Properties=species:S:1:pos:R:3 pbc="T T T"
Rb 0.000 0.000 0.000
Tl 2.469 0.000 2.802
Tl 0.000 2.469 2.802
Pd 0.000 0.000 4.248
Pd 0.000 0.000 6.960
```

Calculated values
magnetic moment	0.00	μB per cell
N(E_F)	2.104	states/eV/cell
polymorph energy (0 for the lowest one)	66	meV/atom
density	8.59	g/cm³

***

# 5
Below is a relaxed ScHgP4 crystal, with properties calculated at the GGA-PBE level.

extended XYZ file:
```
6
Lattice="0.000 3.719 3.719 3.719 0.000 3.719 3.719 3.719 0.000" Properties=species:S:1:pos:R:3 pbc="T T T"
Sc 0.000 0.000 0.000
Hg 5.579 5.579 5.579
P 2.810 2.810 2.810
P 4.628 4.628 2.810
P 4.628 2.810 4.628
P 2.810 4.628 4.628
```

Calculated values
magnetic moment	0.00	μB per cell
N(E_F)	4.149	states/eV/cell
density	5.96	g/cm³

***

# 6
Below is a relaxed Rb12Pb3Au5 crystal, with properties calculated at the GGA-PBE level.

extended XYZ file:
```
80
Lattice="-10.574 10.574 10.574 10.574 -10.574 10.574 10.574 10.574 -10.574" Properties=species:S:1:pos:R:3 pbc="T T T"
Rb 3.215 -0.437 1.405
Rb 12.645 6.691 -5.724
Rb 10.137 -1.405 3.215
Rb 16.297 -2.071 3.882
Rb 13.789 0.437 1.405
Rb 12.645 -3.882 5.724
Rb 1.405 3.215 -0.437
Rb 14.456 4.850 -2.071
Rb 6.691 5.724 -2.071
Rb 9.169 3.215 0.437
Rb -0.437 1.405 3.215
Rb 5.724 -2.071 6.691
Rb 10.137 9.169 -3.215
Rb 5.724 2.071 3.882
Rb 9.169 -3.215 10.137
Rb 6.691 -5.724 12.645
Rb 3.882 5.724 2.071
Rb 11.978 7.358 0.437
Rb 3.215 10.137 -1.405
Rb 12.645 3.882 4.850
Rb 5.724 12.645 -3.882
Rb 10.137 1.405 7.358
Rb 2.071 3.882 5.724
Rb 3.215 0.437 9.169
Rb 7.358 10.137 1.405
Rb 8.502 6.691 4.850
Rb 0.437 9.169 3.215
Rb 4.850 -2.071 14.456
Rb -2.071 6.691 5.724
Rb 7.358 0.437 11.978
Rb -1.405 3.215 10.137
Rb 6.691 4.850 8.502
Rb 3.882 16.297 -2.071
Rb 1.405 13.789 0.437
Rb 4.850 8.502 6.691
Rb 0.437 1.405 13.789
Rb 4.850 12.645 3.882
Rb 11.010 9.169 7.358
Rb 1.405 7.358 10.137
Rb 3.882 4.850 12.645
Rb -3.882 5.724 12.645
Rb 9.169 7.358 11.010
Rb -2.071 14.456 4.850
Rb -3.215 10.137 9.169
Rb -5.724 12.645 6.691
Rb 0.437 11.978 7.358
Rb -2.071 3.882 16.297
Rb 7.358 11.010 9.169
Pb 5.287 2.643 0.000
Pb 10.574 5.287 -2.643
Pb 2.643 0.000 5.287
Pb 13.217 0.000 5.287
Pb 0.000 5.287 2.643
Pb 5.287 -2.643 10.574
Pb 5.287 13.217 0.000
Pb 10.574 5.287 7.930
Pb -2.643 10.574 5.287
Pb 7.930 10.574 5.287
Pb 0.000 5.287 13.217
Pb 5.287 7.930 10.574
Au 0.000 0.000 0.000
Au 5.287 5.287 -5.287
Au 5.287 -5.287 5.287
Au 10.574 0.000 0.000
Au 15.860 2.643 0.000
Au 10.574 -5.287 7.930
Au 7.930 10.574 -5.287
Au 7.930 0.000 5.287
Au 5.287 7.930 0.000
Au 10.574 5.287 2.643
Au -5.287 5.287 5.287
Au 0.000 10.574 0.000
Au 0.000 0.000 10.574
Au 5.287 5.287 5.287
Au 0.000 5.287 7.930
Au 5.287 2.643 10.574
Au 2.643 10.574 5.287
Au 2.643 0.000 15.860
Au 0.000 15.860 2.643
Au -5.287 7.930 10.574
```

Calculated values
magnetic moment	20.36	μB per cell
N(E_F)	44.956	states/eV/cell
density	3.70	g/cm³

***

no.,total DFT energy (no corrections) (eV/atom)
1,-5.138
2,-6.218
3,-6.430
4,-3.324
5,-4.539
6,-2.018